[1]
Computed, not measured: a PBEsol-optimized structure of CdBTe2H at the SCAN level of DFT.

Final energy, eV per atom: -21.662
ρ, Mg/m³: 4.72
Total moment, μB/f.u.: 0.1

abc: 5.6435 5.6435 4.1947
angles: 90.00 90.00 90.00
Last column: nearest neighbours and their distance in Å.
Space group P4/mmm (No. 123)
Unique sites:
Cd1 0.0000 0.0000 0.0000 [1 per cell]  2 B 2.10
B1 0.0000 0.0000 0.5000 [1 per cell]  2 Cd 2.10
Te1 0.0000 0.5000 0.0000 [2 per cell]  2 Cd 2.82
H1 0.5000 0.5000 0.5000 [1 per cell]  8 Te 3.52

---

[2]
Computed, not measured: a PBEsol-optimized structure of Hf2CdB at the SCAN level of DFT.

Final energy, eV per atom: -40.404
ρ, Mg/m³: 11.90
Total moment, μB/f.u.: 0.0
Formation enthalpy at 0 K, meV/atom: 394

abc: 6.4474 6.4474 6.4474
angles: 90.00 90.00 90.00
Last column: nearest neighbours and their distance in Å.
Space group Fm-3m (No. 225)
Unique sites:
Hf1 0.2500 0.2500 0.2500 [8 per cell]  4 B 2.79, 4 Cd 2.79
Cd1 0.0000 0.0000 0.0000 [4 per cell]  8 Hf 2.79
B1 0.0000 0.0000 0.5000 [4 per cell]  8 Hf 2.79